Here is Tb6Pr12Pu after structural relaxation from Alexandria via LeMat-Bulk. Energies are from PBE-GGA.

Output
space group	R-3, No. 148
energy relative to the elements	39	meV/atom
E	-5.197	eV/atom
spin magnetization	6.78	μB/f.u.
crystal system	trigonal

Cell lengths 9.6654, 9.6654, 9.6654 Å; angles 110.91, 110.91, 110.91 degrees
Closest atoms and distances in Å follow each position.
Sites, in units of the cell vectors:
Tb1 0.0310 0.2871 0.1847  4 Tb 3.55-3.64, 1 Pu 3.62, 7 Pr 3.63-3.75
Tb2 0.1847 0.0310 0.2871  4 Tb 3.55-3.64, 1 Pu 3.62, 7 Pr 3.63-3.75
Tb3 0.2871 0.1847 0.0310  4 Tb 3.55-3.64, 1 Pu 3.62, 7 Pr 3.63-3.75
Tb4 0.7129 0.8153 0.9690  4 Tb 3.55-3.64, 1 Pu 3.62, 7 Pr 3.63-3.75
Tb5 0.8153 0.9690 0.7129  4 Tb 3.55-3.64, 1 Pu 3.62, 7 Pr 3.63-3.75
Tb6 0.9690 0.7129 0.8153  4 Tb 3.55-3.64, 1 Pu 3.62, 7 Pr 3.63-3.75
Pr1 0.0812 0.8726 0.5577  4 Tb 3.63-3.72, 8 Pr 3.64-3.70
Pr2 0.1274 0.4423 0.9188  4 Tb 3.63-3.72, 8 Pr 3.64-3.70
Pr3 0.2401 0.6038 0.6553  8 Pr 3.60-3.70, 1 Pu 3.60, 3 Tb 3.64-3.75
Pr4 0.3447 0.7599 0.3962  8 Pr 3.60-3.70, 1 Pu 3.60, 3 Tb 3.64-3.75
Pr5 0.3962 0.3447 0.7599  8 Pr 3.60-3.70, 1 Pu 3.60, 3 Tb 3.64-3.75
Pr6 0.4423 0.9188 0.1274  4 Tb 3.63-3.72, 8 Pr 3.64-3.70
Pr7 0.5577 0.0812 0.8726  4 Tb 3.63-3.72, 8 Pr 3.64-3.70
Pr8 0.6038 0.6553 0.2401  8 Pr 3.60-3.70, 1 Pu 3.60, 3 Tb 3.64-3.75
Pr9 0.6553 0.2401 0.6038  1 Pu 3.60, 8 Pr 3.60-3.70, 3 Tb 3.64-3.75
Pr10 0.7599 0.3962 0.3447  1 Pu 3.60, 8 Pr 3.60-3.70, 3 Tb 3.64-3.75
Pr11 0.8726 0.5577 0.0812  4 Tb 3.63-3.72, 8 Pr 3.64-3.70
Pr12 0.9188 0.1274 0.4423  4 Tb 3.63-3.72, 8 Pr 3.64-3.70
Pu1 0.5000 0.5000 0.5000  6 Pr 3.60, 6 Tb 3.62